Material: Si2NiRu
Method: DFT, PBE-GGA
State: relaxed

Output
Raw formation energy = -454.9 meV per atom
Mass density = 7.4 g cm⁻³
DOS at the Fermi energy = 1.51 states/eV/f.u.
VASP energy = -6.931 eV/atom
Size of the total moment = 0.0 μB per cell

a b c (Å): 2.9436 2.9436 5.5704
angles (deg): 90.00 90.00 90.00
Space group P4/mmm (No. 123)
Symmetry-distinct sites (fractional):
Si  0.0000  0.0000  0.2344
Ni  0.5000  0.5000  0.0000
Ru  0.5000  0.5000  0.5000

=====

Material: SiNiRu2
Method: DFT, PBE-GGA
State: relaxed

Output
Raw formation energy = -252.5 meV per atom
Mass density = 9.5 g cm⁻³
DOS at the Fermi energy = 4.19 states/eV/f.u.
VASP energy = -7.691 eV/atom
Size of the total moment = 0.0 μB per cell

a b c (Å): 9.3726 2.8911 4.1565
angles (deg): 90.00 116.24 90.00
Space group Cm (No. 8)
Symmetry-distinct sites (fractional):
Si  0.0000  0.0000  0.0000
Ni  0.2138  0.5000  0.2148
Ru  0.2625  0.0000  0.7633
Ru  0.4906  0.0000  0.4907

=====

Material: Si3NiRu
Method: DFT, PBE-GGA
State: relaxed

Output
Raw formation energy = 673.0 meV per atom
Mass density = 4.3 g cm⁻³
DOS at the Fermi energy = 2.38 states/eV/f.u.
VASP energy = -5.592 eV/atom
Size of the total moment = 0.0 μB per cell
Energy above the most stable polymorph in this dataset = 0 meV per atom

a b c (Å): 4.5549 4.5549 4.5549
angles (deg): 90.00 90.00 90.00
Space group Pm-3m (No. 221)
Symmetry-distinct sites (fractional):
Si  0.0000  0.0000  0.5000
Ni  0.5000  0.5000  0.5000
Ru  0.0000  0.0000  0.0000

=====

- Among the records above, which one has the highest VASP energy?
  Si3NiRu